(1)
Here is a relaxed BaLa crystal from the Alexandria database. Energies are from GGA-PBE.

The distance to the lowest polymorph of the same formula comes out at 0.569 eV per atom. The value obtained for the energy of formation from the pure elements is 666 meV/atom.

It has space group Fm-3m (No. 225), with a = 7.131 Å, b = 7.131 Å, c = 7.131 Å, α = 90.00°, β = 90.00° and γ = 90.00°. The inequivalent atoms are Ba at (0.000, 0.000, 0.000) and La at (0.000, 0.000, 0.500).



(2)
Here is a relaxed TmPuZnCu crystal from the Alexandria database. Energies are from GGA-PBE.

The value obtained for the energy of formation from the pure elements is -94 meV/atom.

It has space group F-43m (No. 216), with a = 7.004 Å, b = 7.004 Å, c = 7.004 Å, α = 90.00°, β = 90.00° and γ = 90.00°. The inequivalent atoms are Tm at (0.000, 0.000, 0.000), Pu at (0.000, 0.000, 0.500), Zn at (0.250, 0.250, 0.750) and Cu at (0.250, 0.250, 0.250).



(3)
Here is a relaxed TaCo2Br crystal from the Alexandria database. Energies are from GGA-PBE.

The distance to the lowest polymorph of the same formula comes out at 0.555 eV per atom. As for the formation energy from raw total energies: 699.5 meV per atom.

It has space group I-4m2 (No. 119), with a = 3.653 Å, b = 3.653 Å, c = 8.600 Å, α = 90.00°, β = 90.00° and γ = 90.00°. The inequivalent atoms are Ta at (0.000, 0.000, 0.000), Co at (0.000, 0.000, 0.500), Co at (0.000, 0.500, 0.250) and Br at (0.000, 0.500, 0.750).



(4)
Here is a relaxed BaOs2PtF crystal from the Alexandria database. Energies are from GGA-PBE.

As for the formation energy from raw total energies: 2116.8 meV per atom.

It has space group P4/mmm (No. 123), with a = 5.217 Å, b = 5.217 Å, c = 4.511 Å, α = 90.00°, β = 90.00° and γ = 90.00°. The inequivalent atoms are Ba at (0.000, 0.000, 0.000), Os at (0.000, 0.500, 0.000), Pt at (0.500, 0.500, 0.500) and F at (0.000, 0.000, 0.500).



(5)
Here is a relaxed Al2SiTe crystal from the Alexandria database. Energies are from GGA-PBE.

The distance to the lowest polymorph of the same formula comes out at 0.250 eV per atom. As for the formation energy from raw total energies: 107.9 meV per atom.

It has space group Pmmm (No. 47), with a = 2.989 Å, b = 3.710 Å, c = 7.306 Å, α = 90.00°, β = 90.00° and γ = 90.00°. The inequivalent atoms are Al at (0.000, 0.000, 0.190), Si at (0.500, 0.500, 0.000) and Te at (0.000, 0.500, 0.500).



(6)
Here is a relaxed DyEr2Cd2In2 crystal from the Alexandria database. Energies are from GGA-PBE.

The value obtained for the energy of formation from the pure elements is -233 meV/atom.

It has space group R-3m (No. 166, hexagonal axes), with a = 4.9298 Å, b = 4.9298 Å, c = 26.5447 Å, α = 90.00°, β = 90.00° and γ = 120.00°. The inequivalent atoms are Dy at (0.0000, 0.0000, 0.0000), Er at (0.0000, 0.0000, 0.1283), Cd at (0.0000, 0.0000, 0.3963) and In at (0.0000, 0.0000, 0.2581).



(7)
Here is a relaxed KYbP2O7 crystal from the Alexandria database. Energies are from GGA-PBE.

As for the formation energy from raw total energies: -2491.7 meV per atom.

It has space group P2_1/c (No. 14), with a = 7.717 Å, b = 11.084 Å, c = 8.759 Å, α = 90.00°, β = 107.65° and γ = 90.00°. The inequivalent atoms are K at (0.173, 0.181, 0.076), Yb at (0.233, 0.596, 0.250), P at (0.128, 0.603, 0.809), P at (0.444, 0.642, 0.692), O at (0.011, 0.502, 0.709), O at (0.068, 0.728, 0.734), O at (0.134, 0.598, 0.983), O at (0.334, 0.577, 0.804), O at (0.338, 0.614, 0.519), O at (0.367, 0.085, 0.754) and O at (0.458, 0.723, 0.234).



(8)
Here is a relaxed TeICl2 crystal from the Alexandria database. Energies are from GGA-PBE.

The distance to the lowest polymorph of the same formula comes out at 0.202 eV per atom. As for the formation energy from raw total energies: -113.1 meV per atom.

It has space group R-3m (No. 166, hexagonal axes), with a = 3.4544 Å, b = 3.4544 Å, c = 37.2365 Å, α = 90.00°, β = 90.00° and γ = 120.00°. The inequivalent atoms are Te at (0.0000, 0.0000, 0.0000), I at (0.0000, 0.0000, 0.5000) and Cl at (0.0000, 0.0000, 0.0655).



(9)
Here is a relaxed FeCoPt3 crystal from the Alexandria database. Energies are from GGA-PBE.

The distance to the lowest polymorph of the same formula comes out at 1.574 eV per atom. The value obtained for the energy of formation from the pure elements is 1409 meV/atom.

It has space group Pm-3m (No. 221), with a = 4.511 Å, b = 4.511 Å, c = 4.511 Å, α = 90.00°, β = 90.00° and γ = 90.00°. The inequivalent atoms are Fe at (0.000, 0.000, 0.000), Co at (0.500, 0.500, 0.500) and Pt at (0.000, 0.500, 0.500).



(10)
Here is a relaxed NaNp3Tl4Se8 crystal from the Alexandria database. Energies are from GGA-PBE.

As for the formation energy from raw total energies: -886.2 meV per atom.

It has space group R-3m (No. 166, hexagonal axes), with a = 8.4491 Å, b = 8.4491 Å, c = 23.0626 Å, α = 90.00°, β = 90.00° and γ = 120.00°. The inequivalent atoms are Na at (0.0000, 0.0000, 0.0000), Np at (0.0000, 0.5000, 0.0000), Tl at (0.0000, 0.0000, 0.5000), Tl at (0.0000, 0.5000, 0.5000), Se at (0.0000, 0.0000, 0.2655) and Se at (0.0174, 0.5087, 0.2659).



(11)
Here is a relaxed HgSb2W crystal from the Alexandria database. Energies are from GGA-PBE.

As for the formation energy from raw total energies: 926.2 meV per atom.

It has space group Pmmm (No. 47), with a = 3.535 Å, b = 4.823 Å, c = 5.142 Å, α = 90.00°, β = 90.00° and γ = 90.00°. The inequivalent atoms are Hg at (0.000, 0.000, 0.000), Sb at (0.000, 0.500, 0.500), Sb at (0.500, 0.500, 0.000) and W at (0.500, 0.000, 0.500).



(12)
Here is a relaxed Li2AsI crystal from the Alexandria database. Energies are from GGA-PBE.

The distance to the lowest polymorph of the same formula comes out at 0.035 eV per atom. As for the formation energy from raw total energies: -372.3 meV per atom.

It has space group R-3m (No. 166, hexagonal axes), with a = 3.7909 Å, b = 3.7909 Å, c = 25.5804 Å, α = 90.00°, β = 90.00° and γ = 120.00°. The inequivalent atoms are Li at (0.0000, 0.0000, 0.0974), As at (0.0000, 0.0000, 0.0000) and I at (0.0000, 0.0000, 0.5000).



What is the formula in the tenth record?
NaNp3Tl4Se8